# 1
The following is a DFT calculation (PBE-GGA) of a geometry-optimized Cr2CoAg structure.

The space group is R3m (No. 160, hexagonal axes) and the conventional cell measures 2.6114, 2.6114 and 26.4741 Å, with angles of 90.00, 90.00 and 120.00 degrees. The inequivalent atoms are Cr at (0.0000, 0.0000, 0.0000), Cr at (0.0000, 0.0000, 0.2527), Co at (0.0000, 0.0000, 0.5152) and Ag at (0.0000, 0.0000, 0.7588).

As for the density of states at the Fermi level: 1.308 states/eV/atom. Its volume is 13.03 Å³ per atom. Its formation energy is 43.9 kJ per mole of atoms. The total energy is -6.846 eV per atom. As for the total magnetic moment: 1.61 μB per cell.


# 2
The following is a DFT calculation (PBE-GGA) of a geometry-optimized CaGeSbO2 structure.

The space group is P4/mmm (No. 123) and the conventional cell measures 4.295, 4.295 and 6.520 Å, with angles of 90.00, 90.00 and 90.00 degrees. The inequivalent atoms are Ca at (0.000, 0.000, 0.000), Ge at (0.500, 0.500, 0.500), Sb at (0.000, 0.000, 0.500) and O at (0.000, 0.500, 0.000).

As for the density of states at the Fermi level: 0.880 states/eV/atom. Its volume is 24.05 Å³ per atom. The total energy is -4.359 eV per atom. As for the total magnetic moment: 1.98 μB per cell. Its formation energy without anion corrections is -0.2276 eV/atom.


# 3
The following is a DFT calculation (PBE-GGA) of a geometry-optimized RbBa4Pt structure.

The space group is I-4 (No. 82) and the conventional cell measures 10.307, 10.307 and 7.186 Å, with angles of 90.00, 90.00 and 90.00 degrees. The inequivalent atoms are Rb at (0.000, 0.000, 0.000), Ba at (0.104, 0.301, 0.506) and Pt at (0.000, 0.500, 0.250).

As for the density of states at the Fermi level: 1.111 states/eV/atom. Its volume is 63.62 Å³ per atom. Its formation energy is -10.3 kJ per mole of atoms. The total energy is -2.557 eV per atom. As for the total magnetic moment: 0.00 μB per cell.


# 4
The following is a DFT calculation (PBE-GGA) of a geometry-optimized HgHNF2 structure.

The space group is P4/mmm (No. 123) and the conventional cell measures 4.523, 4.523 and 4.306 Å, with angles of 90.00, 90.00 and 90.00 degrees. The inequivalent atoms are Hg at (0.000, 0.000, 0.000), H at (0.500, 0.500, 0.500), N at (0.000, 0.000, 0.500) and F at (0.000, 0.500, 0.000).

As for the density of states at the Fermi level: 0.671 states/eV/atom. Its volume is 17.62 Å³ per atom. The total energy is -2.469 eV per atom. As for the total magnetic moment: 3.04 μB per cell.


# 5
The following is a DFT calculation (PBE-GGA) of a geometry-optimized Li7Hg2Bi structure.

The space group is P3m1 (No. 156) and the conventional cell measures 4.7186, 4.7186 and 10.4137 Å, with angles of 90.00, 90.00 and 120.00 degrees. The inequivalent atoms are Li at (0.0000, 0.0000, 0.0000), Li at (0.0000, 0.0000, 0.2406), Li at (0.0000, 0.0000, 0.7389), Li at (0.3333, 0.6667, 0.4235), Li at (0.3333, 0.6667, 0.8380), Li at (0.6667, 0.3333, 0.2407), Li at (0.6667, 0.3333, 0.5860), Hg at (0.0000, 0.0000, 0.4884), Hg at (0.6667, 0.3333, 0.8601) and Bi at (0.3333, 0.6667, 0.1322).

As for the density of states at the Fermi level: 0.321 states/eV/atom. Its volume is 20.08 Å³ per atom. Its formation energy is -28.4 kJ per mole of atoms. The total energy is -2.083 eV per atom. As for the total magnetic moment: 0.00 μB per cell.


# 6
The following is a DFT calculation (PBE-GGA) of a geometry-optimized TiSeIN2 structure.

The space group is P4/mmm (No. 123) and the conventional cell measures 3.975, 3.975 and 5.852 Å, with angles of 90.00, 90.00 and 90.00 degrees. The inequivalent atoms are Ti at (0.000, 0.000, 0.000), Se at (0.000, 0.000, 0.500), I at (0.500, 0.500, 0.500) and N at (0.000, 0.500, 0.000).

As for the density of states at the Fermi level: 0.619 states/eV/atom. Its volume is 18.49 Å³ per atom. The total energy is -5.416 eV per atom. As for the total magnetic moment: 0.00 μB per cell. Its formation energy without anion corrections is 0.4997 eV/atom.


# 7
The following is a DFT calculation (PBE-GGA) of a geometry-optimized InPt2Rh structure.

The space group is I-42d (No. 122) and the conventional cell measures 3.869, 3.869 and 19.024 Å, with angles of 90.00, 90.00 and 90.00 degrees. The inequivalent atoms are In at (0.000, 0.000, 0.000), Pt at (0.237, 0.250, 0.625) and Rh at (0.000, 0.000, 0.500).

As for the density of states at the Fermi level: 1.146 states/eV/atom. Its volume is 17.80 Å³ per atom. Its formation energy is 2.2 kJ per mole of atoms. The total energy is -5.520 eV per atom. As for the total magnetic moment: 0.00 μB per cell.


# 8
The following is a DFT calculation (PBE-GGA) of a geometry-optimized LiErI2 structure.

The space group is R-3m (No. 166, hexagonal axes) and the conventional cell measures 4.0934, 4.0934 and 28.0827 Å, with angles of 90.00, 90.00 and 120.00 degrees. The inequivalent atoms are Li at (0.0000, 0.0000, 0.0000), Er at (0.0000, 0.0000, 0.5000) and I at (0.0000, 0.0000, 0.3939).

As for the density of states at the Fermi level: 0.337 states/eV/atom. Its volume is 33.96 Å³ per atom. The total energy is -3.162 eV per atom. As for the total magnetic moment: 0.00 μB per cell. Its formation energy without anion corrections is -0.7673 eV/atom.


# 9
The following is a DFT calculation (PBE-GGA) of a geometry-optimized TlFe2Sn2 structure.

The space group is I4/mmm (No. 139) and the conventional cell measures 3.426, 3.426 and 18.672 Å, with angles of 90.00, 90.00 and 90.00 degrees. The inequivalent atoms are Tl at (0.000, 0.000, 0.000), Fe at (0.000, 0.500, 0.250) and Sn at (0.000, 0.000, 0.363).

As for the density of states at the Fermi level: 0.728 states/eV/atom. Its volume is 21.92 Å³ per atom. Its formation energy is 21.4 kJ per mole of atoms. The total energy is -5.238 eV per atom. As for the total magnetic moment: 8.04 μB per cell.


# 10
The following is a DFT calculation (PBE-GGA) of a geometry-optimized Tb5HoTm structure.

The space group is C2/c (No. 15) and the conventional cell measures 11.665, 6.689 and 12.213 Å, with angles of 90.00, 111.13 and 90.00 degrees. The inequivalent atoms are Tb at (0.000, 0.083, 0.250), Tb at (0.081, 0.240, 0.002), Tb at (0.218, 0.134, 0.743), Ho at (0.000, 0.471, 0.750) and Tm at (0.250, 0.250, 0.500).

As for the density of states at the Fermi level: 1.114 states/eV/atom. Its volume is 31.75 Å³ per atom. Its formation energy is 18.3 kJ per mole of atoms. The total energy is -4.410 eV per atom. As for the total magnetic moment: 0.00 μB per cell.


# 11
The following is a DFT calculation (PBE-GGA) of a geometry-optimized Sc5Cd2Rh2Au structure.

The space group is P4/mbm (No. 127) and the conventional cell measures 11.000, 11.000 and 3.447 Å, with angles of 90.00, 90.00 and 90.00 degrees. The inequivalent atoms are Sc at (0.000, 0.500, 0.000), Sc at (0.076, 0.200, 0.000), Cd at (0.171, 0.671, 0.500), Rh at (0.131, 0.369, 0.500) and Au at (0.000, 0.000, 0.500).

As for the density of states at the Fermi level: 0.791 states/eV/atom. Its volume is 20.85 Å³ per atom. Its formation energy is -58.0 kJ per mole of atoms. The total energy is -5.748 eV per atom. As for the total magnetic moment: 0.00 μB per cell.


# 12
The following is a DFT calculation (PBE-GGA) of a geometry-optimized CsNaHg2Rh structure.

The space group is P4/mmm (No. 123) and the conventional cell measures 5.396, 5.396 and 5.502 Å, with angles of 90.00, 90.00 and 90.00 degrees. The inequivalent atoms are Cs at (0.000, 0.000, 0.000), Na at (0.500, 0.500, 0.000), Hg at (0.000, 0.500, 0.500) and Rh at (0.500, 0.500, 0.500).

As for the density of states at the Fermi level: 0.335 states/eV/atom. Its volume is 32.04 Å³ per atom. Its formation energy is -5.6 kJ per mole of atoms. The total energy is -2.084 eV per atom. As for the total magnetic moment: 0.00 μB per cell.


# 13
The following is a DFT calculation (PBE-GGA) of a geometry-optimized CaSi3Ru structure.

The space group is Pm-3m (No. 221) and the conventional cell measures 4.685, 4.685 and 4.685 Å, with angles of 90.00, 90.00 and 90.00 degrees. The inequivalent atoms are Ca at (0.000, 0.000, 0.000), Si at (0.000, 0.500, 0.500) and Ru at (0.500, 0.500, 0.500).

As for the density of states at the Fermi level: 1.260 states/eV/atom. Its volume is 20.56 Å³ per atom. The total energy is -5.391 eV per atom. As for the total magnetic moment: 0.00 μB per cell. Its formation energy without anion corrections is 0.1184 eV/atom.


# 14
The following is a DFT calculation (PBE-GGA) of a geometry-optimized NbAgTe2 structure.

The space group is P1 (No. 1) and the conventional cell measures 3.689, 6.746 and 8.707 Å, with angles of 107.51, 102.11 and 90.02 degrees. The inequivalent atoms are Nb at (0.000, 0.000, 0.000), Nb at (0.487, 0.353, 0.974), Ag at (0.220, 0.027, 0.443), Ag at (0.240, 0.620, 0.477), Te at (0.079, 0.664, 0.159), Te at (0.406, 0.682, 0.810), Te at (0.624, 0.217, 0.250) and Te at (0.866, 0.148, 0.731).

As for the density of states at the Fermi level: 0.229 states/eV/atom. Its volume is 25.20 Å³ per atom. The total energy is -5.057 eV per atom. As for the total magnetic moment: 0.00 μB per cell. Its formation energy without anion corrections is -0.2555 eV/atom.


# 15
The following is a DFT calculation (PBE-GGA) of a geometry-optimized SrLi6Cd2 structure.

The space group is P4/mmm (No. 123) and the conventional cell measures 4.587, 4.587 and 10.102 Å, with angles of 90.00, 90.00 and 90.00 degrees. The inequivalent atoms are Sr at (0.000, 0.000, 0.000), Li at (0.000, 0.000, 0.500), Li at (0.000, 0.500, 0.312), Li at (0.500, 0.500, 0.500) and Cd at (0.500, 0.500, 0.147).

As for the density of states at the Fermi level: 0.676 states/eV/atom. Its volume is 23.62 Å³ per atom. Its formation energy is -11.1 kJ per mole of atoms. The total energy is -1.781 eV per atom. As for the total magnetic moment: 0.00 μB per cell.


# 16
The following is a DFT calculation (PBE-GGA) of a geometry-optimized Sm12GaHg6 structure.

The space group is R-3 (No. 148, hexagonal axes) and the conventional cell measures 13.4925, 13.4925 and 12.4130 Å, with angles of 90.00, 90.00 and 120.00 degrees. The inequivalent atoms are Sm at (0.0328, 0.2131, 0.3948), Sm at (0.0439, 0.2074, 0.8879), Ga at (0.0000, 0.0000, 0.0000) and Hg at (0.0460, 0.2643, 0.6462).

As for the density of states at the Fermi level: 1.428 states/eV/atom. Its volume is 34.33 Å³ per atom. Its formation energy is -8.1 kJ per mole of atoms. The total energy is -3.319 eV per atom. As for the total magnetic moment: 0.01 μB per cell.


# 17
The following is a DFT calculation (PBE-GGA) of a geometry-optimized LiNiP2 structure.

The space group is C2/m (No. 12) and the conventional cell measures 5.119, 7.079 and 2.697 Å, with angles of 90.00, 91.65 and 90.00 degrees. The inequivalent atoms are Li at (0.000, 0.000, 0.000), Ni at (0.000, 0.500, 0.000) and P at (0.250, 0.250, 0.500).

As for the density of states at the Fermi level: 0.266 states/eV/atom. Its volume is 12.21 Å³ per atom. Its formation energy is -15.4 kJ per mole of atoms. The total energy is -4.789 eV per atom. As for the total magnetic moment: 0.00 μB per cell.


# 18
The following is a DFT calculation (PBE-GGA) of a geometry-optimized Li4SnPd2 structure.

The space group is I4/mmm (No. 139) and the conventional cell measures 4.749, 4.749 and 13.117 Å, with angles of 90.00, 90.00 and 90.00 degrees. The inequivalent atoms are Li at (0.000, 0.000, 0.207), Li at (0.000, 0.500, 0.000), Sn at (0.000, 0.000, 0.000) and Pd at (0.000, 0.000, 0.398).

As for the density of states at the Fermi level: 0.359 states/eV/atom. Its volume is 21.13 Å³ per atom. Its formation energy is 13.9 kJ per mole of atoms. The total energy is -3.005 eV per atom. As for the total magnetic moment: 0.00 μB per cell.


# 19
The following is a DFT calculation (PBE-GGA) of a geometry-optimized Hf2HgMo2 structure.

The space group is I4/mmm (No. 139) and the conventional cell measures 3.698, 3.698 and 15.430 Å, with angles of 90.00, 90.00 and 90.00 degrees. The inequivalent atoms are Hf at (0.000, 0.000, 0.108), Hg at (0.000, 0.000, 0.500) and Mo at (0.000, 0.500, 0.250).

As for the density of states at the Fermi level: 0.683 states/eV/atom. Its volume is 21.11 Å³ per atom. Its formation energy is 41.0 kJ per mole of atoms. The total energy is -7.950 eV per atom. As for the total magnetic moment: 0.00 μB per cell.


# 20
The following is a DFT calculation (PBE-GGA) of a geometry-optimized Hf4IrPd2 structure.

The space group is R-3m (No. 166, hexagonal axes) and the conventional cell measures 4.5930, 4.5930 and 23.0096 Å, with angles of 90.00, 90.00 and 120.00 degrees. The inequivalent atoms are Hf at (0.0000, 0.0000, 0.1239), Hf at (0.0000, 0.0000, 0.3745), Ir at (0.0000, 0.0000, 0.0000) and Pd at (0.0000, 0.0000, 0.2417).

As for the density of states at the Fermi level: 0.886 states/eV/atom. Its volume is 20.02 Å³ per atom. Its formation energy is -51.2 kJ per mole of atoms. The total energy is -8.968 eV per atom. As for the total magnetic moment: 0.00 μB per cell.